Entry 1:
First-principles (GGA-PBE) data for a relaxed structure of Tm4ZrIn5, as listed in Alexandria via LeMat-Bulk.

Structure (extended XYZ):
```
10
Lattice="-0.431 1.667 2.880 -2.064 -2.412 1.087 17.145 -10.720 8.772" Properties=species:S:1:pos:R:3 pbc="T T T"
Zr 0.000 0.000 0.000
Tm 10.316 -6.450 5.278
Tm 6.830 -4.270 3.494
In 3.844 -3.556 4.589
In 10.805 -7.909 8.150
In 14.281 -10.082 9.928
Tm 3.347 -2.093 1.712
Tm 13.798 -8.627 7.059
In 7.325 -5.732 6.370
In 0.369 -1.383 2.811
```

Summary:
E_form in meV/atom: -385
Crystal system: tetragonal

---

Entry 2:
First-principles (GGA-PBE) data for a relaxed structure of MgTa2Mn, as listed in Alexandria via LeMat-Bulk.

Structure (extended XYZ):
```
8
Lattice="7.251 0.000 0.000 0.000 7.251 0.000 3.625 3.625 2.720" Properties=species:S:1:pos:R:3 pbc="T T T"
Mg 3.625 7.251 1.360
Mn 0.000 0.000 0.000
Ta 5.438 5.052 2.040
Ta 5.824 1.813 0.680
Ta 9.063 9.449 2.040
Mg 3.625 3.625 0.000
Mn 7.251 3.625 1.360
Ta 1.427 5.438 0.680
```

Summary:
E_form in meV/atom: 626
Crystal system: tetragonal

---

Entry 3:
First-principles (GGA-PBE) data for a relaxed structure of Pr2Dy2Se3S2, as listed in Alexandria via LeMat-Bulk.

Structure (extended XYZ):
```
9
Lattice="5.662 0.000 0.000 0.000 5.662 0.000 -2.831 -2.831 7.297" Properties=species:S:1:pos:R:3 pbc="T T T"
Se 0.000 2.831 3.649
Pr 2.831 2.831 4.217
S 2.831 2.831 1.413
Se 0.000 0.000 0.000
Se 2.831 0.000 3.649
Dy 2.831 0.000 0.000
Pr 0.000 0.000 3.080
S 0.000 0.000 5.884
Dy 0.000 2.831 0.000
```

Summary:
Crystal system: tetragonal
Electronic total energy in eV per atom: -5.69

---

| no. | total magnetization (μB per formula unit) |
| --- | --- |
| 1 | 0.99 |
| 2 | 0.00 |
| 3 | 0.00 |